DFT (PBE) results for a geometry-optimized Pa2BeGeC structure.

Computed properties:
**Magnetic moment**: 0.00 μB/f.u.
**N(E_F)**: 10.0 states/eV per cell
**ΔE_f**: -0.43 eV per atom
**Space-group type**: P2_1/m (11)

CIF file:
```
data_Pa2BeGeC
_space_group_name_H-M_alt 'P 1'
_space_group_IT_number 1
_space_group_name_Hall 'P 1'
_cell_length_a 6.173
_cell_length_b 3.706
_cell_length_c 8.138
_cell_angle_alpha 90.00
_cell_angle_beta 108.79
_cell_angle_gamma 90.00
loop_
_atom_site_label
_atom_site_type_symbol
_atom_site_fract_x
_atom_site_fract_y
_atom_site_fract_z
_atom_site_occupancy
Pa1 Pa 0.208 0.250 0.386 1
Pa2 Pa 0.231 0.250 0.971 1
Pa3 Pa 0.769 0.750 0.029 1
Pa4 Pa 0.792 0.750 0.614 1
Be1 Be 0.459 0.750 0.250 1
Be2 Be 0.541 0.250 0.750 1
Ge1 Ge 0.319 0.750 0.697 1
Ge2 Ge 0.681 0.250 0.303 1
C1 C 0.165 0.750 0.171 1
C2 C 0.835 0.250 0.829 1
```


DFT (PBE) results for a geometry-optimized BaMgFeP structure.

Computed properties:
**Magnetic moment**: 0.00 μB/f.u.
**N(E_F)**: 4.7 states/eV per cell
**ΔE_f**: -0.47 eV per atom
**Space-group type**: P4/nmm (129)

CIF file:
```
data_BaMgFeP
_space_group_name_H-M_alt 'P 1'
_space_group_IT_number 1
_space_group_name_Hall 'P 1'
_cell_length_a 3.930
_cell_length_b 3.930
_cell_length_c 12.632
_cell_angle_alpha 90.00
_cell_angle_beta 90.00
_cell_angle_gamma 90.00
loop_
_atom_site_label
_atom_site_type_symbol
_atom_site_fract_x
_atom_site_fract_y
_atom_site_fract_z
_atom_site_occupancy
Ba1 Ba 0.250 0.250 0.224 1
Ba2 Ba 0.750 0.750 0.776 1
Mg1 Mg 0.250 0.750 0.500 1
Mg2 Mg 0.750 0.250 0.500 1
Fe1 Fe 0.250 0.750 0.000 1
Fe2 Fe 0.750 0.250 0.000 1
P1 P 0.250 0.250 0.915 1
P2 P 0.750 0.750 0.085 1
```


DFT (PBE) results for a geometry-optimized PmSiNiC structure.

Computed properties:
**Magnetic moment**: 0.00 μB/f.u.
**N(E_F)**: 3.5 states/eV per cell
**Space-group type**: P4/nmm (129)
**E_form (uncorrected)**: -1.94 eV/f.u.

CIF file:
```
data_PmSiNiC
_space_group_name_H-M_alt 'P 1'
_space_group_IT_number 1
_space_group_name_Hall 'P 1'
_cell_length_a 3.790
_cell_length_b 3.790
_cell_length_c 8.550
_cell_angle_alpha 90.00
_cell_angle_beta 90.00
_cell_angle_gamma 90.00
loop_
_atom_site_label
_atom_site_type_symbol
_atom_site_fract_x
_atom_site_fract_y
_atom_site_fract_z
_atom_site_occupancy
Pm1 Pm 0.250 0.250 0.153 1
Pm2 Pm 0.750 0.750 0.847 1
Si1 Si 0.250 0.250 0.653 1
Si2 Si 0.750 0.750 0.347 1
Ni1 Ni 0.250 0.750 0.500 1
Ni2 Ni 0.750 0.250 0.500 1
C1 C 0.250 0.250 0.864 1
C2 C 0.750 0.750 0.136 1
```


DFT (PBE) results for a geometry-optimized KAg3Se structure.

Computed properties:
**Magnetic moment**: 0.00 μB/f.u.
**Energy relative to the lowest polymorph listed for this composition**: 23.98 kcal/mol of atoms
**N(E_F)**: 0.2 states/eV per cell
**Space-group type**: Pm-3m (221)
**E_form (uncorrected)**: 5.83 eV/f.u.

CIF file:
```
data_KAg3Se
_space_group_name_H-M_alt 'P 1'
_space_group_IT_number 1
_space_group_name_Hall 'P 1'
_cell_length_a 5.424
_cell_length_b 5.424
_cell_length_c 5.424
_cell_angle_alpha 90.00
_cell_angle_beta 90.00
_cell_angle_gamma 90.00
loop_
_atom_site_label
_atom_site_type_symbol
_atom_site_fract_x
_atom_site_fract_y
_atom_site_fract_z
_atom_site_occupancy
K1 K 0.000 0.000 0.000 1
Ag1 Ag 0.000 0.000 0.500 1
Ag2 Ag 0.000 0.500 0.000 1
Ag3 Ag 0.500 0.000 0.000 1
Se1 Se 0.500 0.500 0.500 1
```


DFT (PBE) results for a geometry-optimized LaFeMo2 structure.

Computed properties:
**Magnetic moment**: 2.13 μB/f.u.
**Energy relative to the lowest polymorph listed for this composition**: 3.97 kcal/mol of atoms
**N(E_F)**: 5.3 states/eV per cell
**ΔE_f**: 0.62 eV per atom
**Space-group type**: R3m (160)

CIF file:
```
data_LaFeMo2
_space_group_name_H-M_alt 'P 1'
_space_group_IT_number 1
_space_group_name_Hall 'P 1'
_cell_length_a 9.112
_cell_length_b 9.112
_cell_length_c 9.112
_cell_angle_alpha 19.75
_cell_angle_beta 19.75
_cell_angle_gamma 19.75
loop_
_atom_site_label
_atom_site_type_symbol
_atom_site_fract_x
_atom_site_fract_y
_atom_site_fract_z
_atom_site_occupancy
La1 La 0.000 0.000 0.000 1
Fe1 Fe 0.761 0.761 0.761 1
Mo1 Mo 0.233 0.233 0.233 1
Mo2 Mo 0.497 0.497 0.497 1
```


DFT (PBE) results for a geometry-optimized MgCdCl structure.

Computed properties:
**Magnetic moment**: 0.00 μB/f.u.
**Energy relative to the lowest polymorph listed for this composition**: 0.94 kcal/mol of atoms
**N(E_F)**: 0.6 states/eV per cell
**Space-group type**: P3m1 (156)
**E_form (uncorrected)**: -2.05 eV/f.u.

CIF file:
```
data_MgCdCl
_space_group_name_H-M_alt 'P 1'
_space_group_IT_number 1
_space_group_name_Hall 'P 1'
_cell_length_a 3.435
_cell_length_b 3.435
_cell_length_c 7.927
_cell_angle_alpha 90.00
_cell_angle_beta 90.00
_cell_angle_gamma 120.00
loop_
_atom_site_label
_atom_site_type_symbol
_atom_site_fract_x
_atom_site_fract_y
_atom_site_fract_z
_atom_site_occupancy
Mg1 Mg 0.000 0.000 0.000 1
Cd1 Cd 0.667 0.333 0.296 1
Cl1 Cl 0.333 0.667 0.811 1
```


DFT (PBE) results for a geometry-optimized Cd2SbSeI structure.

Computed properties:
**Magnetic moment**: 0.00 μB/f.u.
**N(E_F)**: 3.8 states/eV per cell
**Space-group type**: P4/mmm (123)
**E_form (uncorrected)**: 1.13 eV/f.u.

CIF file:
```
data_Cd2SbSeI
_space_group_name_H-M_alt 'P 1'
_space_group_IT_number 1
_space_group_name_Hall 'P 1'
_cell_length_a 5.432
_cell_length_b 5.432
_cell_length_c 5.822
_cell_angle_alpha 90.00
_cell_angle_beta 90.00
_cell_angle_gamma 90.00
loop_
_atom_site_label
_atom_site_type_symbol
_atom_site_fract_x
_atom_site_fract_y
_atom_site_fract_z
_atom_site_occupancy
Cd1 Cd 0.000 0.500 0.000 1
Cd2 Cd 0.500 0.000 0.000 1
Sb1 Sb 0.000 0.000 0.500 1
Se1 Se 0.000 0.000 0.000 1
I1 I 0.500 0.500 0.500 1
```


DFT (PBE) results for a geometry-optimized ZrHgW2 structure.

Computed properties:
**Magnetic moment**: 0.00 μB/f.u.
**N(E_F)**: 2.0 states/eV per cell
**ΔE_f**: 0.31 eV per atom
**Space-group type**: Pm (6)

CIF file:
```
data_ZrHgW2
_space_group_name_H-M_alt 'P 1'
_space_group_IT_number 1
_space_group_name_Hall 'P 1'
_cell_length_a 2.903
_cell_length_b 4.339
_cell_length_c 6.026
_cell_angle_alpha 90.00
_cell_angle_beta 98.28
_cell_angle_gamma 90.00
loop_
_atom_site_label
_atom_site_type_symbol
_atom_site_fract_x
_atom_site_fract_y
_atom_site_fract_z
_atom_site_occupancy
Zr1 Zr 0.000 0.000 0.000 1
Hg1 Hg 0.572 0.500 0.267 1
W1 W 0.146 0.000 0.543 1
W2 W 0.505 0.500 0.742 1
```


DFT (PBE) results for a geometry-optimized Sc2TaPb structure.

Computed properties:
**Magnetic moment**: 0.00 μB/f.u.
**N(E_F)**: 4.0 states/eV per cell
**ΔE_f**: 0.16 eV per atom
**Space-group type**: P4mm (99)

CIF file:
```
data_Sc2TaPb
_space_group_name_H-M_alt 'P 1'
_space_group_IT_number 1
_space_group_name_Hall 'P 1'
_cell_length_a 3.122
_cell_length_b 3.122
_cell_length_c 9.343
_cell_angle_alpha 90.00
_cell_angle_beta 90.00
_cell_angle_gamma 90.00
loop_
_atom_site_label
_atom_site_type_symbol
_atom_site_fract_x
_atom_site_fract_y
_atom_site_fract_z
_atom_site_occupancy
Sc1 Sc 0.000 0.000 0.000 1
Sc2 Sc 0.500 0.500 0.271 1
Ta1 Ta 0.000 0.000 0.500 1
Pb1 Pb 0.500 0.500 0.745 1
```


DFT (PBE) results for a geometry-optimized NdPu2Th structure.

Computed properties:
**Magnetic moment**: 11.64 μB/f.u.
**Energy relative to the lowest polymorph listed for this composition**: 0.00 kcal/mol of atoms
**N(E_F)**: 14.5 states/eV per cell
**ΔE_f**: 0.19 eV per atom
**Space-group type**: P4/mmm (123)

CIF file:
```
data_NdPu2Th
_space_group_name_H-M_alt 'P 1'
_space_group_IT_number 1
_space_group_name_Hall 'P 1'
_cell_length_a 3.498
_cell_length_b 3.498
_cell_length_c 9.725
_cell_angle_alpha 90.00
_cell_angle_beta 90.00
_cell_angle_gamma 90.00
loop_
_atom_site_label
_atom_site_type_symbol
_atom_site_fract_x
_atom_site_fract_y
_atom_site_fract_z
_atom_site_occupancy
Nd1 Nd 0.000 0.000 0.000 1
Pu1 Pu 0.500 0.500 0.263 1
Pu2 Pu 0.500 0.500 0.737 1
Th1 Th 0.000 0.000 0.500 1
```


Question: Look up the N(E_F) of the eighth one.
Answer: 2.0 states/eV per cell